Compound: Tm2CdIn
Source: the Alexandria database
Functional: PBEsol
Structure: relaxed

Geometry as CIF:
```
data_Tm2CdIn
_space_group_name_H-M_alt 'F m -3 m'
_space_group_IT_number 225
_space_group_name_Hall '-F 4 2 3'
_cell_length_a 7.275
_cell_length_b 7.275
_cell_length_c 7.275
_cell_angle_alpha 90.00
_cell_angle_beta 90.00
_cell_angle_gamma 90.00
loop_
_atom_site_label
_atom_site_fract_x
_atom_site_fract_y
_atom_site_fract_z
_atom_site_occupancy
Tm1 0.250 0.250 0.250 1
Cd1 0.000 0.000 0.000 1
In1 0.000 0.000 0.500 1
```

Values from the calculation:
final energy: -3.924 eV per atom
formation energy: -0.4294 eV per atom

Compound: YCdIn2
Source: the Alexandria database
Functional: PBEsol
Structure: relaxed

Geometry as CIF:
```
data_YCdIn2
_space_group_name_H-M_alt 'I 4/m m m'
_space_group_IT_number 139
_space_group_name_Hall '-I 4 2'
_cell_length_a 4.477
_cell_length_b 4.477
_cell_length_c 9.526
_cell_angle_alpha 90.00
_cell_angle_beta 90.00
_cell_angle_gamma 90.00
loop_
_atom_site_label
_atom_site_fract_x
_atom_site_fract_y
_atom_site_fract_z
_atom_site_occupancy
Y1 0.000 0.000 0.000 1
Cd1 0.000 0.000 0.500 1
In1 0.000 0.500 0.250 1
```

Values from the calculation:
final energy: -3.808 eV per atom
formation energy: -0.3114 eV per atom

Compound: YCdIn3
Source: the Alexandria database
Functional: PBEsol
Structure: relaxed

Geometry as CIF:
```
data_YCdIn3
_space_group_name_H-M_alt 'P m -3 m'
_space_group_IT_number 221
_space_group_name_Hall '-P 4 2 3'
_cell_length_a 5.783
_cell_length_b 5.783
_cell_length_c 5.783
_cell_angle_alpha 90.00
_cell_angle_beta 90.00
_cell_angle_gamma 90.00
loop_
_atom_site_label
_atom_site_fract_x
_atom_site_fract_y
_atom_site_fract_z
_atom_site_occupancy
Y1 0.000 0.000 0.000 1
Cd1 0.500 0.500 0.500 1
In1 0.000 0.000 0.500 1
```

Values from the calculation:
final energy: -2.672 eV per atom
formation energy: 0.7220 eV per atom

Compound: Y4CdIn
Source: the Alexandria database
Functional: PBEsol
Structure: relaxed

Geometry as CIF:
```
data_Y4CdIn
_space_group_name_H-M_alt 'F -4 3 m'
_space_group_IT_number 216
_space_group_name_Hall 'F -4 2 3'
_cell_length_a 8.755
_cell_length_b 8.755
_cell_length_c 8.755
_cell_angle_alpha 90.00
_cell_angle_beta 90.00
_cell_angle_gamma 90.00
loop_
_atom_site_label
_atom_site_fract_x
_atom_site_fract_y
_atom_site_fract_z
_atom_site_occupancy
Y1 0.125 0.125 0.125 1
Cd1 0.250 0.250 0.750 1
In1 0.000 0.000 0.500 1
```

Values from the calculation:
final energy: -5.034 eV per atom
formation energy: 0.2112 eV per atom

Compound: YCdIn2
Source: the Alexandria database
Functional: PBEsol
Structure: relaxed

Geometry as CIF:
```
data_YCdIn2
_space_group_name_H-M_alt 'P 4/m m m'
_space_group_IT_number 123
_space_group_name_Hall '-P 4 2'
_cell_length_a 4.535
_cell_length_b 4.535
_cell_length_c 4.464
_cell_angle_alpha 90.00
_cell_angle_beta 90.00
_cell_angle_gamma 90.00
loop_
_atom_site_label
_atom_site_fract_x
_atom_site_fract_y
_atom_site_fract_z
_atom_site_occupancy
Y1 0.000 0.000 0.000 1
Cd1 0.500 0.500 0.000 1
In1 0.000 0.500 0.500 1
```

Values from the calculation:
final energy: -3.965 eV per atom
formation energy: -0.4686 eV per atom

Compound: ZnCd2In
Source: the Alexandria database
Functional: PBEsol
Structure: relaxed

Geometry as CIF:
```
data_ZnCd2In
_space_group_name_H-M_alt 'F m -3 m'
_space_group_IT_number 225
_space_group_name_Hall '-F 4 2 3'
_cell_length_a 6.960
_cell_length_b 6.960
_cell_length_c 6.960
_cell_angle_alpha 90.00
_cell_angle_beta 90.00
_cell_angle_gamma 90.00
loop_
_atom_site_label
_atom_site_fract_x
_atom_site_fract_y
_atom_site_fract_z
_atom_site_occupancy
Zn1 0.000 0.000 0.000 1
Cd1 0.250 0.250 0.250 1
In1 0.000 0.000 0.500 1
```

Values from the calculation:
final energy: -1.594 eV per atom
formation energy: 0.1457 eV per atom
ΔE to the lowest computed polymorph: 0.081 eV per atom

Compound: ZnCd2In
Source: the Alexandria database
Functional: PBEsol
Structure: relaxed

Geometry as CIF:
```
data_ZnCd2In
_space_group_name_H-M_alt 'C 1 m 1'
_space_group_IT_number 8
_space_group_name_Hall 'C -2y'
_cell_length_a 9.127
_cell_length_b 3.330
_cell_length_c 5.511
_cell_angle_alpha 90.00
_cell_angle_beta 101.26
_cell_angle_gamma 90.00
loop_
_atom_site_label
_atom_site_fract_x
_atom_site_fract_y
_atom_site_fract_z
_atom_site_occupancy
Zn1 0.000 0.000 0.000 1
Cd1 0.005 0.500 0.527 1
Cd2 0.257 0.000 0.780 1
In1 0.248 0.500 0.252 1
```

Values from the calculation:
final energy: -1.670 eV per atom
formation energy: 0.0702 eV per atom
ΔE to the lowest computed polymorph: 0.005 eV per atom

Compound: Zn2CdIn
Source: the Alexandria database
Functional: PBEsol
Structure: relaxed

Geometry as CIF:
```
data_Zn2CdIn
_space_group_name_H-M_alt 'P 1 m 1'
_space_group_IT_number 6
_space_group_name_Hall 'P -2y'
_cell_length_a 3.687
_cell_length_b 4.193
_cell_length_c 5.264
_cell_angle_alpha 90.00
_cell_angle_beta 110.08
_cell_angle_gamma 90.00
loop_
_atom_site_label
_atom_site_fract_x
_atom_site_fract_y
_atom_site_fract_z
_atom_site_occupancy
Zn1 0.000 0.000 0.000 1
Zn2 0.145 0.500 0.293 1
Cd1 0.723 0.000 0.449 1
In1 0.419 0.500 0.839 1
```

Values from the calculation:
final energy: -1.761 eV per atom
formation energy: 0.0751 eV per atom
ΔE to the lowest computed polymorph: 0.000 eV per atom

Compound: Zn2Cd2In
Source: the Alexandria database
Functional: PBEsol
Structure: relaxed

Geometry as CIF:
```
data_Zn2Cd2In
_space_group_name_H-M_alt 'P 4/m b m'
_space_group_IT_number 127
_space_group_name_Hall '-P 4 2ab'
_cell_length_a 8.433
_cell_length_b 8.433
_cell_length_c 2.788
_cell_angle_alpha 90.00
_cell_angle_beta 90.00
_cell_angle_gamma 90.00
loop_
_atom_site_label
_atom_site_fract_x
_atom_site_fract_y
_atom_site_fract_z
_atom_site_occupancy
Zn1 0.155 0.345 0.000 1
Cd1 0.143 0.643 0.500 1
In1 0.000 0.000 0.500 1
```

Values from the calculation:
final energy: -1.603 eV per atom
formation energy: 0.1055 eV per atom

Compound: ZnCdIn
Source: the Alexandria database
Functional: PBEsol
Structure: relaxed

Geometry as CIF:
```
data_ZnCdIn
_space_group_name_H-M_alt 'I 4 m m'
_space_group_IT_number 107
_space_group_name_Hall 'I 4 -2'
_cell_length_a 3.094
_cell_length_b 3.094
_cell_length_c 12.631
_cell_angle_alpha 90.00
_cell_angle_beta 90.00
_cell_angle_gamma 90.00
loop_
_atom_site_label
_atom_site_fract_x
_atom_site_fract_y
_atom_site_fract_z
_atom_site_occupancy
Zn1 0.000 0.000 0.000 1
Cd1 0.000 0.000 0.647 1
In1 0.000 0.000 0.336 1
```

Values from the calculation:
final energy: -1.837 eV per atom
formation energy: 0.0837 eV per atom

Compound: ZnCd2In
Source: the Alexandria database
Functional: PBEsol
Structure: relaxed

Geometry as CIF:
```
data_ZnCd2In
_space_group_name_H-M_alt 'P m m 2'
_space_group_IT_number 25
_space_group_name_Hall 'P 2 -2'
_cell_length_a 3.015
_cell_length_b 3.155
_cell_length_c 8.538
_cell_angle_alpha 90.00
_cell_angle_beta 90.00
_cell_angle_gamma 90.00
loop_
_atom_site_label
_atom_site_fract_x
_atom_site_fract_y
_atom_site_fract_z
_atom_site_occupancy
Zn1 0.000 0.000 0.000 1
Cd1 0.000 0.000 0.524 1
Cd2 0.500 0.500 0.781 1
In1 0.500 0.500 0.243 1
```

Values from the calculation:
final energy: -1.675 eV per atom
formation energy: 0.0652 eV per atom
ΔE to the lowest computed polymorph: 0.000 eV per atom

Compound: ZnCd2In
Source: the Alexandria database
Functional: PBEsol
Structure: relaxed

Geometry as CIF:
```
data_ZnCd2In
_space_group_name_H-M_alt 'I m m m'
_space_group_IT_number 71
_space_group_name_Hall '-I 2 2'
_cell_length_a 2.832
_cell_length_b 5.367
_cell_length_c 10.922
_cell_angle_alpha 90.00
_cell_angle_beta 90.00
_cell_angle_gamma 90.00
loop_
_atom_site_label
_atom_site_fract_x
_atom_site_fract_y
_atom_site_fract_z
_atom_site_occupancy
Zn1 0.000 0.000 0.000 1
Cd1 0.000 0.500 0.275 1
In1 0.000 0.000 0.500 1
```

Values from the calculation:
final energy: -1.670 eV per atom
formation energy: 0.0697 eV per atom
ΔE to the lowest computed polymorph: 0.005 eV per atom

Compound: ZnCd2In
Source: the Alexandria database
Functional: PBEsol
Structure: relaxed

Geometry as CIF:
```
data_ZnCd2In
_space_group_name_H-M_alt 'P 4/m m m'
_space_group_IT_number 123
_space_group_name_Hall '-P 4 2'
_cell_length_a 4.305
_cell_length_b 4.305
_cell_length_c 4.365
_cell_angle_alpha 90.00
_cell_angle_beta 90.00
_cell_angle_gamma 90.00
loop_
_atom_site_label
_atom_site_fract_x
_atom_site_fract_y
_atom_site_fract_z
_atom_site_occupancy
Zn1 0.000 0.000 0.000 1
Cd1 0.000 0.500 0.500 1
In1 0.500 0.500 0.000 1
```

Values from the calculation:
final energy: -1.660 eV per atom
formation energy: 0.0801 eV per atom
ΔE to the lowest computed polymorph: 0.015 eV per atom

Compound: ZnCd2In
Source: the Alexandria database
Functional: PBEsol
Structure: relaxed

Geometry as CIF:
```
data_ZnCd2In
_space_group_name_H-M_alt 'P m m m'
_space_group_IT_number 47
_space_group_name_Hall '-P 2 2'
_cell_length_a 3.139
_cell_length_b 4.284
_cell_length_c 6.059
_cell_angle_alpha 90.00
_cell_angle_beta 90.00
_cell_angle_gamma 90.00
loop_
_atom_site_label
_atom_site_fract_x
_atom_site_fract_y
_atom_site_fract_z
_atom_site_occupancy
Zn1 0.000 0.000 0.000 1
Cd1 0.500 0.500 0.234 1
In1 0.000 0.000 0.500 1
```

Values from the calculation:
final energy: -1.658 eV per atom
formation energy: 0.0813 eV per atom
ΔE to the lowest computed polymorph: 0.016 eV per atom

Compound: ZnCdIn3
Source: the Alexandria database
Functional: PBEsol
Structure: relaxed

Geometry as CIF:
```
data_ZnCdIn3
_space_group_name_H-M_alt 'P m -3 m'
_space_group_IT_number 221
_space_group_name_Hall '-P 4 2 3'
_cell_length_a 5.129
_cell_length_b 5.129
_cell_length_c 5.129
_cell_angle_alpha 90.00
_cell_angle_beta 90.00
_cell_angle_gamma 90.00
loop_
_atom_site_label
_atom_site_fract_x
_atom_site_fract_y
_atom_site_fract_z
_atom_site_occupancy
Zn1 0.000 0.000 0.000 1
Cd1 0.500 0.500 0.500 1
In1 0.000 0.000 0.500 1
```

Values from the calculation:
final energy: -2.051 eV per atom
formation energy: 0.2943 eV per atom
ΔE to the lowest computed polymorph: 0.000 eV per atom

Compound: Zn2CdIn
Source: the Alexandria database
Functional: PBEsol
Structure: relaxed

Geometry as CIF:
```
data_Zn2CdIn
_space_group_name_H-M_alt 'R 3 m'
_space_group_IT_number 160
_space_group_name_Hall 'R 3 -2"'
_cell_length_a 3.1593
_cell_length_b 3.1593
_cell_length_c 26.3023
_cell_angle_alpha 90.00
_cell_angle_beta 90.00
_cell_angle_gamma 120.00
loop_
_atom_site_label
_atom_site_fract_x
_atom_site_fract_y
_atom_site_fract_z
_atom_site_occupancy
Zn1 0.0000 0.0000 0.0000 1
Zn2 0.0000 0.0000 0.2635 1
Cd1 0.0000 0.0000 0.7485 1
In1 0.0000 0.0000 0.5116 1
```

Values from the calculation:
final energy: -1.745 eV per atom
formation energy: 0.0908 eV per atom
ΔE to the lowest computed polymorph: 0.016 eV per atom

Compound: ZnCd2In
Source: the Alexandria database
Functional: PBEsol
Structure: relaxed

Geometry as CIF:
```
data_ZnCd2In
_space_group_name_H-M_alt 'I -4 m 2'
_space_group_IT_number 119
_space_group_name_Hall 'I -4 -2'
_cell_length_a 4.347
_cell_length_b 4.347
_cell_length_c 8.567
_cell_angle_alpha 90.00
_cell_angle_beta 90.00
_cell_angle_gamma 90.00
loop_
_atom_site_label
_atom_site_fract_x
_atom_site_fract_y
_atom_site_fract_z
_atom_site_occupancy
Zn1 0.000 0.000 0.000 1
Cd1 0.000 0.000 0.500 1
Cd2 0.000 0.500 0.250 1
In1 0.000 0.500 0.750 1
```

Values from the calculation:
final energy: -1.663 eV per atom
formation energy: 0.0762 eV per atom
ΔE to the lowest computed polymorph: 0.011 eV per atom

Compound: ZnCdIn
Source: the Alexandria database
Functional: PBEsol
Structure: relaxed

Geometry as CIF:
```
data_ZnCdIn
_space_group_name_H-M_alt 'I m m 2'
_space_group_IT_number 44
_space_group_name_Hall 'I 2 -2'
_cell_length_a 3.248
_cell_length_b 4.241
_cell_length_c 8.737
_cell_angle_alpha 90.00
_cell_angle_beta 90.00
_cell_angle_gamma 90.00
loop_
_atom_site_label
_atom_site_fract_x
_atom_site_fract_y
_atom_site_fract_z
_atom_site_occupancy
Zn1 0.000 0.000 0.000 1
Cd1 0.000 0.000 0.335 1
In1 0.000 0.000 0.665 1
```

Values from the calculation:
final energy: -1.825 eV per atom
formation energy: 0.0952 eV per atom

Compound: Zn2CdIn
Source: the Alexandria database
Functional: PBEsol
Structure: relaxed

Geometry as CIF:
```
data_Zn2CdIn
_space_group_name_H-M_alt 'P 4 m m'
_space_group_IT_number 99
_space_group_name_Hall 'P 4 -2'
_cell_length_a 2.984
_cell_length_b 2.984
_cell_length_c 8.371
_cell_angle_alpha 90.00
_cell_angle_beta 90.00
_cell_angle_gamma 90.00
loop_
_atom_site_label
_atom_site_fract_x
_atom_site_fract_y
_atom_site_fract_z
_atom_site_occupancy
Zn1 0.000 0.000 0.000 1
Zn2 0.500 0.500 0.194 1
Cd1 0.000 0.000 0.432 1
In1 0.500 0.500 0.732 1
```

Values from the calculation:
final energy: -1.756 eV per atom
formation energy: 0.0802 eV per atom
ΔE to the lowest computed polymorph: 0.005 eV per atom

Compound: ZnCd2In
Source: the Alexandria database
Functional: PBEsol
Structure: relaxed

Geometry as CIF:
```
data_ZnCd2In
_space_group_name_H-M_alt 'C 1 2/m 1'
_space_group_IT_number 12
_space_group_name_Hall '-C 2y'
_cell_length_a 5.620
_cell_length_b 10.960
_cell_length_c 3.062
_cell_angle_alpha 90.00
_cell_angle_beta 118.14
_cell_angle_gamma 90.00
loop_
_atom_site_label
_atom_site_fract_x
_atom_site_fract_y
_atom_site_fract_z
_atom_site_occupancy
Zn1 0.000 0.000 0.000 1
Cd1 0.250 0.250 0.000 1
In1 0.000 0.500 0.000 1
```

Values from the calculation:
final energy: -1.652 eV per atom
formation energy: 0.0881 eV per atom
ΔE to the lowest computed polymorph: 0.023 eV per atom